This record from Alexandria describes SrErHgPd after structural relaxation. The functional is PBE.

Lattice parameters (Å, degrees): 7.4153 7.4153 7.4153 90.00 90.00 90.00
Last column: nearest neighbours and their distance in Å.
Space group F-43m (No. 216)
Unique sites:
Sr1 0.0000 0.0000 0.0000  4 Hg 3.21, 4 Pd 3.21
Er1 0.0000 0.0000 0.5000  4 Pd 3.21, 4 Hg 3.21
Hg1 0.2500 0.2500 0.2500  4 Er 3.21, 4 Sr 3.21
Pd1 0.2500 0.2500 0.7500  4 Er 3.21, 4 Sr 3.21

Properties
Raw total energy = -3.43 eV per atom
E_form = -496.0 meV per atom